A plane-wave DFT calculation with GGA-PBE was carried out for a geometry-optimized KVSnCl6 structure. Values from VASP.

Geometry as Quantum ESPRESSO input:
```
&SYSTEM
  ibrav = 0, nat = 9, ntyp = 4
/
ATOMIC_SPECIES
Cl 35.45 Cl.upf
K 39.10 K.upf
V 50.94 V.upf
Sn 118.71 Sn.upf
CELL_PARAMETERS angstrom
6.907 0.000 0.000
3.453 5.981 0.001
0.000 0.001 6.692
ATOMIC_POSITIONS crystal
Cl 0.612 0.344 0.708
Cl 0.344 0.612 0.292
Cl 0.044 0.612 0.708
Cl 0.044 0.344 0.292
K 0.000 0.000 0.000
Cl 0.612 0.044 0.292
V 0.333 0.333 0.500
Sn 0.667 0.667 0.500
Cl 0.344 0.044 0.708
```

Values from the calculation:
* space group: P312 (149)
* calculated density: 2.532 g/cm³
* total moment: 2.000 μB/f.u.
* formation energy from raw total energies: -1.33 eV/atom
* DOS(E_F): 0.704 states/eV per atom